BeIrIO2 | PBE | optimized geometry

- ΔE_f (raw) (eV per atom) = 0.272
- Fermi-level density of states (states/eV per cell) = 3.0
- total DFT energy (no corrections) (eV/atom) = -4.54
- relative energy among the computed polymorphs (meV per atom) = 333

a b c (Å): 3.6157 3.6157 6.0935
angles (deg): 90.00 90.00 90.00
With the nearest neighbours (Å) after each atom.
Space group P4/mmm (No. 123)
Inequivalent atoms, fractional coordinates:
Be 0.0000 0.0000 0.0000 x1  4 O 1.81
Ir 0.5000 0.5000 0.5000 x1  4 I 2.56
I 0.0000 0.0000 0.5000 x1  4 Ir 2.56
O 0.0000 0.5000 0.0000 x2  2 Be 1.81

Re2Rh3 | PBE | optimized geometry

- DFT formation energy (eV per atom) = 0.0701
- Fermi-level density of states (states/eV per cell) = 43.9
- total DFT energy (no corrections) (eV/atom) = -9.32
- relative energy among the computed polymorphs (meV per atom) = 185

a b c (Å): 9.2459 13.3347 4.7486
angles (deg): 90.00 90.00 90.00
With the nearest neighbours (Å) after each atom.
Space group Fdd2 (No. 43)
Inequivalent atoms, fractional coordinates:
Re 0.0254 0.2042 0.0000 x16  9 Rh 2.56-2.84, 2 Re 2.71
Rh 0.0000 0.0000 0.0374 x8  6 Re 2.56-2.81, 4 Rh 2.70-2.82
Rh 0.0366 0.1022 0.5225 x16  6 Re 2.65-2.84, 5 Rh 2.67-2.82

Ni2OsRh | PBE | optimized geometry

- DFT formation energy (eV per atom) = 0.0642
- Fermi-level density of states (states/eV per cell) = 7.5
- total DFT energy (no corrections) (eV/atom) = -7.47

a b c (Å): 3.6472 3.6472 7.5564
angles (deg): 90.00 90.00 90.00
With the nearest neighbours (Å) after each atom.
Space group I-4m2 (No. 119)
Inequivalent atoms, fractional coordinates:
Ni 0.0000 0.0000 0.0000 x2  4 Rh 2.58, 4 Ni 2.63, 4 Os 2.63
Ni 0.0000 0.5000 0.2500 x2  4 Os 2.58, 4 Ni 2.63, 4 Rh 2.63
Os 0.0000 0.5000 0.7500 x2  8 Ni 2.58-2.63, 4 Rh 2.63
Rh 0.0000 0.0000 0.5000 x2  8 Ni 2.58-2.63, 4 Os 2.63

MoW2Br | PBE | optimized geometry

- ΔE_f (raw) (eV per atom) = 1.159
- Fermi-level density of states (states/eV per cell) = 9.2
- total DFT energy (no corrections) (eV/atom) = -8.44
- relative energy among the computed polymorphs (meV per atom) = 627

a b c (Å): 5.2986 8.6573 2.9366
angles (deg): 90.00 90.00 90.00
With the nearest neighbours (Å) after each atom.
Space group Cmmm (No. 65)
Inequivalent atoms, fractional coordinates:
Mo 0.0000 0.0000 0.0000 x2  2 Br 2.65, 8 W 2.93, 2 Mo 2.94
W 0.2500 0.2500 0.5000 x4  4 W 2.65-2.94, 4 Br 2.93, 4 Mo 2.93
Br 0.0000 0.5000 0.0000 x2  2 Mo 2.65, 8 W 2.93, 2 Br 2.94

OsAu2Cl | PBE | optimized geometry

- ΔE_f (raw) (eV per atom) = 0.497
- Fermi-level density of states (states/eV per cell) = 5.7
- total DFT energy (no corrections) (eV/atom) = -4.41
- relative energy among the computed polymorphs (meV per atom) = 0

a b c (Å): 2.8230 5.1636 10.3065
angles (deg): 90.00 90.00 90.00
With the nearest neighbours (Å) after each atom.
Space group Cmm2 (No. 35)
Inequivalent atoms, fractional coordinates:
Os 0.0000 0.0000 0.0000 x2  2 Cl 2.37
Au 0.0000 0.0000 0.4783 x2  8 Au 2.82-2.94
Au 0.0000 0.5000 0.2307 x2  2 Os 2.77, 8 Au 2.82-2.94
Cl 0.0000 0.5000 0.8155 x2  2 Os 2.37

UCuTc2 | PBE | optimized geometry

- DFT formation energy (eV per atom) = -0.0857
- Fermi-level density of states (states/eV per cell) = 3.9
- total DFT energy (no corrections) (eV/atom) = -9.11

a b c (Å): 4.1727 4.1727 3.6358
angles (deg): 90.00 90.00 90.00
With the nearest neighbours (Å) after each atom.
Space group P4/mmm (No. 123)
Inequivalent atoms, fractional coordinates:
U 0.0000 0.0000 0.0000 x1  8 Tc 2.77, 4 Cu 2.95
Cu 0.5000 0.5000 0.0000 x1  8 Tc 2.77, 4 U 2.95
Tc 0.0000 0.5000 0.5000 x2  4 U 2.77, 4 Cu 2.77, 4 Tc 2.95

CdCoMo3 | PBE | optimized geometry

- DFT formation energy (eV per atom) = 1.1037
- Fermi-level density of states (states/eV per cell) = 4.2
- total DFT energy (no corrections) (eV/atom) = -7.00
- relative energy among the computed polymorphs (meV per atom) = 0

a b c (Å): 4.4950 4.4950 4.4950
angles (deg): 90.00 90.00 90.00
With the nearest neighbours (Å) after each atom.
Space group Pm-3m (No. 221)
Inequivalent atoms, fractional coordinates:
Cd 0.0000 0.0000 0.0000 x1  12 Mo 3.18
Co 0.5000 0.5000 0.5000 x1  6 Mo 2.25
Mo 0.0000 0.5000 0.5000 x3  2 Co 2.25

TbCe2Al9 | PBE | optimized geometry

- DFT formation energy (eV per atom) = -0.3430
- Fermi-level density of states (states/eV per cell) = 36.5
- total DFT energy (no corrections) (eV/atom) = -4.52

a b c (Å): 5.5925 5.5925 26.5784
angles (deg): 90.00 90.00 120.00
With the nearest neighbours (Å) after each atom.
Space group R-3m (No. 166, hexagonal axes)
Inequivalent atoms, fractional coordinates:
Tb 0.0000 0.0000 0.0000 x3  18 Al 3.23-3.56
Ce 0.0000 0.0000 0.1438 x6  12 Al 3.24-3.29, 3 Ce 3.45
Al 0.0000 0.0000 0.3351 x6  6 Al 2.71-2.74
Al 0.0000 0.0000 0.5000 x3  6 Al 2.77
Al 0.0062 0.5031 0.9174 x18  7 Al 2.71-2.85

Ba4Th3NbN8 | PBE | optimized geometry

- ΔE_f (raw) (eV per atom) = -1.024
- Fermi-level density of states (states/eV per cell) = 7.3
- total DFT energy (no corrections) (eV/atom) = -7.69

a b c (Å): 7.3277 7.3277 19.2653
angles (deg): 90.00 90.00 120.00
With the nearest neighbours (Å) after each atom.
Space group R-3m (No. 166, hexagonal axes)
Inequivalent atoms, fractional coordinates:
Ba 0.0000 0.0000 0.0000 x3  6 N 3.06
Ba 0.0000 0.5000 0.0000 x9  6 N 2.87-2.91
Th 0.0000 0.5000 0.5000 x9  6 N 2.44-2.51
Nb 0.0000 0.0000 0.5000 x3  6 N 2.27
N 0.0000 0.0000 0.2297 x6  3 Th 2.44
N 0.0278 0.5139 0.2281 x18  1 Nb 2.27, 2 Th 2.51

KTi2Br | PBE | optimized geometry

- ΔE_f (raw) (eV per atom) = 1.191
- Fermi-level density of states (states/eV per cell) = 31.3
- total DFT energy (no corrections) (eV/atom) = -3.45
- relative energy among the computed polymorphs (meV per atom) = 663

a b c (Å): 7.1336 7.1336 7.1336
angles (deg): 90.00 90.00 90.00
With the nearest neighbours (Å) after each atom.
Space group Fm-3m (No. 225)
Inequivalent atoms, fractional coordinates:
K 0.0000 0.0000 0.0000 x4  8 Ti 3.09
Ti 0.2500 0.2500 0.2500 x8  4 K 3.09, 4 Br 3.09
Br 0.0000 0.0000 0.5000 x4  8 Ti 3.09

KZnP2 | PBE | optimized geometry

- DFT formation energy (eV per atom) = 0.0997
- Fermi-level density of states (states/eV per cell) = 2.3
- total DFT energy (no corrections) (eV/atom) = -3.20

a b c (Å): 4.5693 4.7999 7.7577
angles (deg): 90.00 90.00 90.00
With the nearest neighbours (Å) after each atom.
Space group Cmm2 (No. 35)
Inequivalent atoms, fractional coordinates:
K 0.0000 0.0000 0.0000 x2  5 P 3.27-3.47, 4 K 3.31, 4 Zn 3.42-3.50
Zn 0.0000 0.5000 0.3276 x2  3 P 2.71-3.00
P 0.0000 0.0000 0.5781 x2  4 P 2.41-2.52
P 0.0000 0.5000 0.6768 x2  4 P 2.41-2.52

Dy4Y2Te9 | PBE | optimized geometry

- ΔE_f (raw) (eV per atom) = -1.370
- total DFT energy (no corrections) (eV/atom) = -5.34

a b c (Å): 7.6937 7.6937 21.0871
angles (deg): 90.00 90.00 120.00
With the nearest neighbours (Å) after each atom.
Space group P-3c1 (No. 165)
Inequivalent atoms, fractional coordinates:
Dy 0.3333 0.6667 0.1762 x4  6 Te 3.06-3.11
Dy 0.3333 0.6667 0.4904 x4  6 Te 3.06-3.11
Y 0.0000 0.0000 0.1571 x4  6 Te 3.07-3.11
Te 0.0000 0.3144 0.2500 x6  2 Dy 3.06, 2 Y 3.11
Te 0.0194 0.3535 0.5834 x12  3 Dy 3.06-3.11, 1 Y 3.07

Please write out number 12 again, unchanged.
Dy4Y2Te9 | PBE | optimized geometry

- ΔE_f (raw) (eV per atom) = -1.370
- total DFT energy (no corrections) (eV/atom) = -5.34

a b c (Å): 7.6937 7.6937 21.0871
angles (deg): 90.00 90.00 120.00
With the nearest neighbours (Å) after each atom.
Space group P-3c1 (No. 165)
Inequivalent atoms, fractional coordinates:
Dy 0.3333 0.6667 0.1762 x4  6 Te 3.06-3.11
Dy 0.3333 0.6667 0.4904 x4  6 Te 3.06-3.11
Y 0.0000 0.0000 0.1571 x4  6 Te 3.07-3.11
Te 0.0000 0.3144 0.2500 x6  2 Dy 3.06, 2 Y 3.11
Te 0.0194 0.3535 0.5834 x12  3 Dy 3.06-3.11, 1 Y 3.07